# CaInOs2

Crystalline CaInOs2 at its relaxed geometry (PBE-GGA, Alexandria).

```
8
Lattice="-6.0345 0.4535 4.9553 -2.4754 -7.0304 -2.3712 -2.7759 -4.4527 3.1998" Properties=species:S:1:pos:R:3 pbc="T T T"
Ca -4.2550 -3.2884 1.2921
In 0.0000 0.0000 0.0000
Os -5.2063 -5.6160 3.4329
Os -9.5949 -9.2841 4.5970
Os -2.8325 -5.4627 -0.1964
In -6.5327 -3.6438 4.7236
Os -4.9379 -1.6963 3.7344
Ca -4.7531 -7.3857 1.0604
```

ΔE_f ... 4.3 eV per formula unit


# CaInOs2

Crystalline CaInOs2 at its relaxed geometry (PBE-GGA, Alexandria).

```
4
Lattice="3.4722 0.0000 0.0000 0.0000 3.4722 0.0000 0.0000 0.0000 6.4802" Properties=species:S:1:pos:R:3 pbc="T T T"
Os 0.0000 0.0000 6.1723
Ca 1.7361 1.7361 1.6200
Os 0.0000 0.0000 3.5480
In 1.7361 1.7361 4.8601
```

ΔE_f ... 2.9 eV per formula unit


# CaInOs2

Crystalline CaInOs2 at its relaxed geometry (PBE-GGA, Alexandria).

```
4
Lattice="5.0463 0.0026 -0.0148 4.1681 2.8448 -0.0148 1.0633 0.3286 5.4012" Properties=species:S:1:pos:R:3 pbc="T T T"
In 2.5694 0.7940 1.3429
Ca 7.7082 2.3819 4.0287
Os 5.1752 1.5992 2.3525
Os 9.1780 2.8361 0.3036
```

ΔE_f ... 2.3 eV per formula unit


# CaInOs2

Crystalline CaInOs2 at its relaxed geometry (PBE-GGA, Alexandria).

```
4
Lattice="-1.5913 -1.9466 5.0575 -1.6148 -4.2962 3.2917 3.9247 -1.9888 2.5939" Properties=species:S:1:pos:R:3 pbc="T T T"
In -0.1476 -2.1008 2.7973
Os 0.0674 -0.2295 0.3045
Ca 0.6469 -4.1309 5.4879
Os 0.5112 -5.8860 7.8250
```

ΔE_f ... 1.6 eV per formula unit


# CaInOs

Crystalline CaInOs at its relaxed geometry (PBE-GGA, Alexandria).

```
3
Lattice="5.8933 -0.0139 0.0152 4.8709 3.3182 0.0177 1.0224 0.3127 3.3174" Properties=species:S:1:pos:R:3 pbc="T T T"
In 3.9560 1.2136 2.3283
Ca 1.1564 0.3538 3.2722
Os 7.6967 2.3623 1.0672
```

ΔE_f ... 0.8 eV per formula unit


# CaIn2Os

Crystalline CaIn2Os at its relaxed geometry (PBE-GGA, Alexandria).

```
4
Lattice="-1.4679 0.1773 -3.1857 -0.4391 -3.4836 0.0084 -6.7108 0.8536 3.1397" Properties=species:S:1:pos:R:3 pbc="T T T"
In -2.9539 -1.3987 -0.6527
Os -3.0435 0.3871 1.4239
In -0.2546 0.0324 0.1191
Ca -5.7211 -1.0467 0.6419
```

ΔE_f ... 0.8 eV per formula unit


Short version: calculated volume = 20.5, 19.5, 19.4, 18.9, 21.7, 23.0 A^3/atom, in the order given.
Short version: spin magnetization = 0.0, 1.8, 0.0, 0.0, 0.0, 0.0 Bohr magnetons per cell, in the order given.